# P2Cl (GGA-PBE, relaxed)
# uncorrected formation energy: -7.8 kJ/mol of atoms
# E_tot: -4.3032 eV per atom
data_P2Cl
_chemical_formula_sum 'P2 Cl1'
_space_group_name_H-M_alt 'P 1'
_space_group_IT_number 1
_cell_length_a 3.3598
_cell_length_b 3.5187
_cell_length_c 6.7194
_cell_angle_alpha 88.30
_cell_angle_beta 88.68
_cell_angle_gamma 76.64
loop_
_space_group_symop_operation_xyz
'x,y,z'
loop_
_atom_site_label
_atom_site_fract_x
_atom_site_fract_y
_atom_site_fract_z
P1 0.0000 0.0000 0.0000
P2 0.4034 0.3792 0.8905
Cl1 0.9792 0.9520 0.3054

---

# PCl (GGA-PBE, relaxed)
# uncorrected formation energy: -14.3 kJ/mol of atoms
# E_tot: -3.7767 eV per atom
data_PCl
_chemical_formula_sum 'P6 Cl6'
_space_group_name_H-M_alt 'C 1 m 1'
_space_group_IT_number 8
_cell_length_a 13.6621
_cell_length_b 3.3483
_cell_length_c 8.3382
_cell_angle_alpha 90.00
_cell_angle_beta 114.32
_cell_angle_gamma 90.00
loop_
_space_group_symop_operation_xyz
'x,y,z'
'x,-y,z'
'x+1/2,y+1/2,z'
'x+1/2,-y+1/2,z'
loop_
_atom_site_label
_atom_site_fract_x
_atom_site_fract_y
_atom_site_fract_z
P1 0.0000 0.0000 0.0000
P2 0.0005 0.0000 0.3681
P3 0.0426 0.5000 0.2161
Cl1 0.0317 0.5000 0.5946
Cl2 0.2043 0.5000 0.2665
Cl3 0.3358 0.5000 0.8781

---

# P2Cl (GGA-PBE, relaxed)
# uncorrected formation energy: 33.8 kJ/mol of atoms
# E_tot: -3.8715 eV per atom
data_P2Cl
_chemical_formula_sum 'P4 Cl2'
_space_group_name_H-M_alt 'P n n m'
_space_group_IT_number 58
_cell_length_a 5.5058
_cell_length_b 7.5079
_cell_length_c 5.9672
_cell_angle_alpha 90.00
_cell_angle_beta 90.00
_cell_angle_gamma 90.00
loop_
_space_group_symop_operation_xyz
'x,y,z'
'-x,-y,-z'
'-x,-y,z'
'x,y,-z'
'x+1/2,-y+1/2,-z+1/2'
'-x+1/2,y+1/2,z+1/2'
'-x+1/2,y+1/2,-z+1/2'
'x+1/2,-y+1/2,z+1/2'
loop_
_atom_site_label
_atom_site_fract_x
_atom_site_fract_y
_atom_site_fract_z
P1 0.0909 0.1131 0.0000
Cl1 0.0000 0.5000 0.5000

---

# PCl (GGA-PBE, relaxed)
# uncorrected formation energy: 59.0 kJ/mol of atoms
# E_tot: -3.0167 eV per atom
data_PCl
_chemical_formula_sum 'P2 Cl2'
_space_group_name_H-M_alt 'P 63/m m c'
_space_group_IT_number 194
_space_group_name_Hall '-P 6c 2c'
_cell_length_a 4.7409
_cell_length_b 4.7409
_cell_length_c 4.5566
_cell_angle_alpha 90.00
_cell_angle_beta 90.00
_cell_angle_gamma 120.00
loop_
_atom_site_label
_atom_site_fract_x
_atom_site_fract_y
_atom_site_fract_z
P1 0.0000 0.0000 0.0000
Cl1 0.3333 0.6667 0.2500

---

Among the records above, which one has the lowest E_tot? number 1

---

What is the E_tot in the second record? -3.7767 eV per atom

---

What is the formula in the second record? PCl

---

Please write out number 3 again, unchanged.
# P2Cl (GGA-PBE, relaxed)
# uncorrected formation energy: 33.8 kJ/mol of atoms
# E_tot: -3.8715 eV per atom
data_P2Cl
_chemical_formula_sum 'P4 Cl2'
_space_group_name_H-M_alt 'P n n m'
_space_group_IT_number 58
_cell_length_a 5.5058
_cell_length_b 7.5079
_cell_length_c 5.9672
_cell_angle_alpha 90.00
_cell_angle_beta 90.00
_cell_angle_gamma 90.00
loop_
_space_group_symop_operation_xyz
'x,y,z'
'-x,-y,-z'
'-x,-y,z'
'x,y,-z'
'x+1/2,-y+1/2,-z+1/2'
'-x+1/2,y+1/2,z+1/2'
'-x+1/2,y+1/2,-z+1/2'
'x+1/2,-y+1/2,z+1/2'
loop_
_atom_site_label
_atom_site_fract_x
_atom_site_fract_y
_atom_site_fract_z
P1 0.0909 0.1131 0.0000
Cl1 0.0000 0.5000 0.5000